Here is CsTi3Sn at its PBEsol-relaxed geometry from the Alexandria database. Energies are from SCAN.

Cell lengths 5.375, 5.375, 5.375 Å; angles 90.00, 90.00, 90.00 degrees
Space group Pm-3m (No. 221)
One atom of each set of equivalent atoms:
1 Cs 0.000 0.000 0.000 [1 per cell]
2 Ti 0.000 0.500 0.500 [3 per cell]
3 Sn 0.500 0.500 0.500 [1 per cell]

Computed properties:
As for the formation enthalpy at 0 K: 0.934 eV per atom. The calculation puts the density of states at the Fermi level at 0.50 states/eV per atom. The calculation puts the calculated total energy at -117.153 eV for the cell shown. The calculation puts the total magnetic moment at 8.76 μB/f.u.